Record 1
## NaPr5Hg6 (PBE)

Data for a geometry-optimized NaPr5Hg6 structure.

POSCAR file:
```
NaPr5Hg6
1.0
2.7153 -8.1233 0.0000
2.7153 8.1233 0.0000
0.0000 0.0000 7.6932
Na Pr Hg
1 5 6
Direct
0.0000 0.0000 0.0000
0.0000 0.0000 0.5000
0.3308 0.6692 0.5000
0.3398 0.6602 0.0000
0.6602 0.3398 0.0000
0.6692 0.3308 0.5000
0.1665 0.8335 0.2430
0.1665 0.8335 0.7570
0.5000 0.5000 0.2568
0.5000 0.5000 0.7432
0.8335 0.1665 0.2430
0.8335 0.1665 0.7570
```

=====

Record 2
## NaPr6Hg5 (PBE)

Data for a geometry-optimized NaPr6Hg5 structure.

POSCAR file:
```
NaPr6Hg5
1.0
-2.7377 3.8812 8.2510
2.7377 -3.8812 8.2510
2.7377 3.8812 -8.2510
Na Pr Hg
1 6 5
Direct
0.0000 0.0000 0.0000
0.0836 0.8283 0.2553
0.2635 0.5000 0.7635
0.4269 0.1717 0.2553
0.5731 0.8283 0.7447
0.7365 0.5000 0.2365
0.9164 0.1717 0.7447
0.1542 0.6542 0.5000
0.3327 0.3327 0.0000
0.5000 0.0000 0.5000
0.6673 0.6673 0.0000
0.8458 0.3458 0.5000
```

=====

Respective DFT formation energy values: -439; -362 meV/atom.